VASP calculation (PBE) on SnTe2RhI after structural relaxation.

Unit cell a=5.278 b=5.278 c=5.379 alpha=90.00 beta=90.00 gamma=90.00
Positions (direct):
Sn 0.000 0.000 0.000
Te 0.000 0.500 0.500
Te 0.500 0.000 0.500
Rh 0.500 0.500 0.500
I 0.500 0.500 0.000

Output
energy relative to the elements, uncorrected = 15 kJ/mol of atoms

=====

VASP calculation (PBE) on HfV3Re after structural relaxation.

Unit cell a=4.581 b=4.581 c=4.581 alpha=90.00 beta=90.00 gamma=90.00
Positions (direct):
Hf 0.000 0.000 0.000
V 0.000 0.500 0.500
V 0.500 0.000 0.500
V 0.500 0.500 0.000
Re 0.500 0.500 0.500

Output
calculated formation energy = 0.952 eV/atom

=====

VASP calculation (PBE) on AlOs after structural relaxation.

Unit cell a=5.012 b=5.012 c=5.023 alpha=90.00 beta=90.00 gamma=90.00
Positions (direct):
Al 0.196 0.196 0.000
Al 0.304 0.696 0.500
Al 0.696 0.304 0.500
Al 0.804 0.804 0.000
Os 0.194 0.194 0.500
Os 0.306 0.694 0.000
Os 0.694 0.306 0.000
Os 0.806 0.806 0.500

Output
calculated formation energy = 0.604 eV/atom

=====

VASP calculation (PBE) on Pm2AlPt2 after structural relaxation.

Unit cell a=7.315 b=7.315 c=7.315 alpha=120.22 beta=79.63 gamma=132.58
Positions (direct):
Pm 0.151 0.158 0.309
Pm 0.349 0.658 0.007
Pm 0.651 0.342 0.993
Pm 0.849 0.842 0.691
Al 0.250 0.750 0.500
Al 0.750 0.250 0.500
Pt 0.101 0.746 0.847
Pt 0.399 0.246 0.644
Pt 0.601 0.754 0.356
Pt 0.899 0.254 0.153

Output
calculated formation energy = -0.999 eV/atom